A geometry-optimized Ho2NpRu3 structure, computed with PBE.

abc: 3.276 5.558 13.613
angles: 90.00 90.00 90.00
Space group Immm (No. 71)
Inequivalent atoms, fractional coordinates:
Ho1 0.000 0.000 0.168 [4 per cell]
Np1 0.000 0.000 0.500 [2 per cell]
Ru1 0.000 0.500 0.145 [4 per cell]
Ru2 0.000 0.500 0.500 [2 per cell]

Calculated values
Its polymorph energy (0 for the lowest one) is 2.57 eV per formula unit.

A geometry-optimized BaCa5Ac structure, computed with PBE.

abc: 6.334 6.334 8.739
angles: 90.00 90.00 90.00
Space group P4/mmm (No. 123)
Inequivalent atoms, fractional coordinates:
Ba1 0.000 0.000 0.000 [1 per cell]
Ca1 0.000 0.500 0.269 [4 per cell]
Ca2 0.500 0.500 0.000 [1 per cell]
Ac1 0.000 0.000 0.500 [1 per cell]

Calculated values
The total energy comes out at -14.2 eV for the cell shown.

A geometry-optimized Zr3MoAs structure, computed with PBE.

abc: 5.013 5.013 5.013
angles: 90.00 90.00 90.00
Space group Pm-3m (No. 221)
Inequivalent atoms, fractional coordinates:
Zr1 0.000 0.000 0.500 [3 per cell]
Mo1 0.000 0.000 0.000 [1 per cell]
As1 0.500 0.500 0.500 [1 per cell]

Calculated values
Its polymorph energy (0 for the lowest one) is 0.91 eV per formula unit.

A geometry-optimized SnWN3 structure, computed with PBE.

abc: 3.994 3.994 3.994
angles: 90.00 90.00 90.00
Space group Pm-3m (No. 221)
Inequivalent atoms, fractional coordinates:
Sn1 0.000 0.000 0.000 [1 per cell]
W1 0.500 0.500 0.500 [1 per cell]
N1 0.000 0.000 0.500 [3 per cell]

Calculated values
For the formation energy (no corrections), the calculation gives 2.10 eV/atom.

Which formula does entry 1 have? Ho2NpRu3